(1)
Below is a relaxed Ca2SiGeBi crystal, with properties calculated at the PBE level.

Cell and atoms, written as extended XYZ:
```
5
Lattice="5.5144 0.0000 0.0000 0.0000 5.5144 0.0000 0.0000 0.0000 5.4569" Properties=species:S:1:pos:R:3 pbc="T T T"
Ca 0.0000 2.7572 0.0000
Ca 2.7572 0.0000 0.0000
Si 0.0000 0.0000 2.7285
Ge 2.7572 2.7572 0.0000
Bi 2.7572 2.7572 2.7285
```

Values from the calculation:
Density: 3.90 g/cm3
Crystal system: tetragonal
ΔE_f (raw): 0.2187 eV/atom
SG: P4/mmm
Magnetic moment: 0.000 μB per formula unit

(2)
Below is a relaxed Tb6CeSm2Y3 crystal, with properties calculated at the PBE level.

Cell and atoms, written as extended XYZ:
```
12
Lattice="3.0976 -5.3641 0.0000 3.0976 5.3641 0.0000 -2.0626 0.0000 11.6667" Properties=species:S:1:pos:R:3 pbc="T T T"
Tb -0.0061 1.7749 8.7538
Tb 1.0197 0.0000 2.9101
Tb -0.0061 -1.7749 8.7538
Tb 4.1386 1.7749 2.9129
Tb 3.1129 0.0000 8.7566
Tb 4.1386 -1.7749 2.9129
Ce -1.0313 0.0000 5.8334
Sm 2.0663 1.7864 5.8334
Sm 2.0663 -1.7864 5.8334
Y 3.0976 3.5720 0.0000
Y 3.0976 0.0000 0.0000
Y 3.0976 -3.5720 0.0000
```

Values from the calculation:
Density: 7.11 g/cm3
Crystal system: monoclinic
SG: C2/m
Calculated formation energy: 37 meV/atom
Magnetic moment: 1.049 μB per formula unit

(3)
Below is a relaxed Pa2Be3SiIr4 crystal, with properties calculated at the PBE level.

Cell and atoms, written as extended XYZ:
```
10
Lattice="4.0553 0.0000 0.0000 0.0000 4.0553 0.0000 0.0000 0.0000 9.3944" Properties=species:S:1:pos:R:3 pbc="T T T"
Pa 0.0000 2.0276 2.2514
Pa 2.0276 0.0000 7.1431
Be 0.0000 2.0276 8.2887
Be 2.0276 0.0000 1.1057
Be 2.0276 2.0276 4.6972
Si 0.0000 0.0000 4.6972
Ir 0.0000 0.0000 0.0000
Ir 0.0000 2.0276 5.9948
Ir 2.0276 0.0000 3.3996
Ir 2.0276 2.0276 0.0000
```

Values from the calculation:
Density: 13.82 g/cm3
Crystal system: tetragonal
ΔE_f (raw): -0.7343 eV/atom
SG: P-4m2
Magnetic moment: 0.000 μB per formula unit

(4)
Below is a relaxed Ca5PuPd6 crystal, with properties calculated at the PBE level.

Cell and atoms, written as extended XYZ:
```
12
Lattice="2.4918 -7.4778 0.0000 2.4918 7.4778 0.0000 0.0000 0.0000 7.1187" Properties=species:S:1:pos:R:3 pbc="T T T"
Ca 0.0000 0.0000 0.0000
Ca 2.4918 2.5465 3.5594
Ca 2.4918 2.4929 0.0000
Ca 2.4918 -2.4929 0.0000
Ca 2.4918 -2.5465 3.5594
Pu 0.0000 0.0000 3.5594
Pd 2.4918 5.0672 1.8020
Pd 2.4918 5.0672 5.3167
Pd 2.4918 0.0000 1.8796
Pd 2.4918 0.0000 5.2391
Pd 2.4918 -5.0672 1.8020
Pd 2.4918 -5.0672 5.3167
```

Values from the calculation:
Density: 6.78 g/cm3
Crystal system: orthorhombic
SG: Cmmm
Calculated formation energy: -617 meV/atom
Magnetic moment: 5.342 μB per formula unit

(5)
Below is a relaxed Sm2Y2Ru3 crystal, with properties calculated at the PBE level.

Cell and atoms, written as extended XYZ:
```
7
Lattice="4.2514 -2.4564 0.0000 4.2514 2.4564 0.0000 -2.8307 0.0000 7.6975" Properties=species:S:1:pos:R:3 pbc="T T T"
Sm -0.0042 0.0000 2.8903
Sm 5.6763 0.0000 4.8072
Y 2.8324 0.0000 0.9655
Y 2.8396 0.0000 6.7320
Ru 0.0000 0.0000 0.0000
Ru 0.0053 0.0000 5.8075
Ru 5.6667 0.0000 1.8900
```

Values from the calculation:
Density: 8.07 g/cm3
Crystal system: monoclinic
SG: C2/m
Calculated formation energy: -206 meV/atom
Magnetic moment: 0.000 μB per formula unit

(6)
Below is a relaxed K2Tm2TeS6 crystal, with properties calculated at the PBE level.

Cell and atoms, written as extended XYZ:
```
11
Lattice="3.4209 -5.9057 0.0000 3.4209 5.9057 0.0000 -2.2588 0.0000 7.5534" Properties=species:S:1:pos:R:3 pbc="T T T"
K 3.4209 3.9366 0.0000
K 3.4209 -3.9366 0.0000
Tm 2.2915 1.9663 3.7767
Tm 2.2915 -1.9663 3.7767
Te -1.1294 0.0000 3.7767
S -0.0041 1.9499 5.2438
S 1.1147 0.0000 2.3048
S -0.0041 -1.9499 5.2438
S 4.5870 1.9499 2.3096
S 3.4683 0.0000 5.2486
S 4.5870 -1.9499 2.3096
```

Values from the calculation:
Density: 4.00 g/cm3
Crystal system: monoclinic
ΔE_f (raw): -1.3640 eV/atom
SG: C2/m
Magnetic moment: 0.000 μB per formula unit

Number 1: electronic total energy -0.2474 Ry per atom. Number 2: electronic total energy -0.3803 Ry per atom. Number 3: electronic total energy -0.5761 Ry per atom. Number 4: electronic total energy -0.3853 Ry per atom. Number 5: electronic total energy -0.5422 Ry per atom. Number 6: electronic total energy -0.3611 Ry per atom.